# 1
An optimized crystal structure of Na2GeIrO6. Source: Alexandria, functional PBE.

abc: 4.923 5.159 5.159
angles: 90.00 90.00 90.00
Last column: magnetic moment on the atom in μB.
Atoms (fractional coordinates):
1 Na 0.045 0.500 0.000  0.00
2 O 0.691 0.757 0.757  0.10
3 O 0.203 0.000 0.000  0.10
4 O 0.232 0.500 0.500  0.37
5 O 0.691 0.757 0.243  0.10
6 Ge 0.552 0.000 0.000  0.04
7 O 0.691 0.243 0.243  0.10
8 Na 0.045 0.000 0.500  0.00
9 Ir 0.607 0.500 0.500  0.99
10 O 0.691 0.243 0.757  0.10

Its uncorrected formation energy is -1090 meV/atom. As for the density of states at the Fermi level: 3.55 states/eV per cell.

=====

# 2
An optimized crystal structure of InAgHgPb. Source: Alexandria, functional PBE.

abc: 3.276 3.276 9.264
angles: 90.02 89.98 90.01
Atoms (fractional coordinates):
1 Ag 0.144 0.856 0.218
2 In 0.646 0.354 0.431
3 Pb 0.151 0.849 0.732
4 Hg 0.645 0.355 0.008

As for the density of states at the Fermi level: 1.28 states/eV per cell. For the formation energy, the calculation gives 0.259 eV/f.u. The polymorph energy (0 for the lowest one) comes out at 0 meV/atom.

=====

# 3
An optimized crystal structure of PmPaRh. Source: Alexandria, functional PBE.

abc: 3.658 5.780 8.001
angles: 102.86 90.00 108.45
Atoms (fractional coordinates):
1 Rh 0.678 0.357 0.169
2 Rh 0.322 0.643 0.831
3 Pm 0.878 0.756 0.566
4 Pa 0.633 0.265 0.837
5 Pm 0.122 0.244 0.434
6 Pa 0.367 0.735 0.163

As for the density of states at the Fermi level: 7.78 states/eV per cell. For the formation energy, the calculation gives -0.646 eV/f.u. The polymorph energy (0 for the lowest one) comes out at 242 meV/atom.

=====

# 4
An optimized crystal structure of K2CdRe. Source: Alexandria, functional PBE.

abc: 2.872 2.872 12.077
angles: 90.00 90.00 97.89
Atoms (fractional coordinates):
1 Re 0.500 0.500 0.250
2 K 0.000 0.000 0.481
3 Cd 0.500 0.500 0.750
4 K 0.000 0.000 0.019

As for the density of states at the Fermi level: 3.17 states/eV per cell. For the formation energy, the calculation gives 4.087 eV/f.u.

=====

# 5
An optimized crystal structure of KAc3Nd2Te6. Source: Alexandria, functional PBE.

abc: 4.665 9.387 10.440
angles: 102.29 102.91 90.00
Atoms (fractional coordinates):
1 Ac 0.838 0.171 0.675
2 Te 0.668 0.580 0.335
3 Nd 0.171 0.348 0.343
4 Te 0.332 0.420 0.665
5 Te 0.007 0.256 0.014
6 Te 0.670 0.096 0.340
7 Ac 0.500 0.500 0.000
8 Ac 0.162 0.829 0.325
9 Te 0.993 0.744 0.986
10 Te 0.330 0.904 0.660
11 Nd 0.829 0.652 0.657
12 K 0.500 0.000 0.000

Its uncorrected formation energy is -1445 meV/atom. As for the density of states at the Fermi level: 4.84 states/eV per cell.

=====

# 6
An optimized crystal structure of LaBiS2. Source: Alexandria, functional PBE.

abc: 8.914 8.914 8.914
angles: 27.12 27.12 27.12
Atoms (fractional coordinates):
1 La 0.000 0.000 0.000
2 S 0.109 0.109 0.109
3 Bi 0.500 0.500 0.500
4 S 0.891 0.891 0.891

Its uncorrected formation energy is -550 meV/atom. As for the density of states at the Fermi level: 1.08 states/eV per cell.

=====

# 7
An optimized crystal structure of KAgTe2. Source: Alexandria, functional PBE.

abc: 5.986 5.986 3.232
angles: 90.10 90.10 90.13
Atoms (fractional coordinates):
1 Ag 0.500 0.000 0.500
2 Te 0.500 0.500 0.000
3 Te 0.000 0.000 0.000
4 K 0.000 0.500 0.500

Its uncorrected formation energy is -201 meV/atom. As for the density of states at the Fermi level: 2.18 states/eV per cell.

=====

# 8
An optimized crystal structure of Zr2TiAgGe. Source: Alexandria, functional PBE.

abc: 5.225 4.582 5.225
angles: 90.00 90.00 90.00
Last column: magnetic moment on the atom in μB.
Atoms (fractional coordinates):
1 Zr 0.000 0.000 0.500  0.40
2 Zr 0.500 0.000 0.000  0.40
3 Ag 0.000 0.000 0.000  0.05
4 Ti 0.500 0.500 0.500  1.53
5 Ge 0.000 0.500 0.000  -0.04

As for the density of states at the Fermi level: 4.23 states/eV per cell. For the formation energy, the calculation gives 4.854 eV/f.u.

=====

# 9
An optimized crystal structure of SbTe2PtCl. Source: Alexandria, functional PBE.

abc: 5.337 5.337 5.145
angles: 90.00 90.00 90.00
Atoms (fractional coordinates):
1 Sb 0.000 0.000 0.500
2 Cl 0.000 0.000 0.000
3 Te 0.000 0.500 0.000
4 Te 0.500 0.000 0.000
5 Pt 0.500 0.500 0.500

Its uncorrected formation energy is 1210 meV/atom. As for the density of states at the Fermi level: 8.85 states/eV per cell. The polymorph energy (0 for the lowest one) comes out at 890 meV/atom.

=====

# 10
An optimized crystal structure of FeReTc2Rh. Source: Alexandria, functional PBE.

abc: 4.619 4.450 4.619
angles: 90.00 90.00 90.00
Last column: magnetic moment on the atom in μB.
Atoms (fractional coordinates):
1 Rh 0.500 0.500 0.500  0.22
2 Tc 0.000 0.000 0.500  -0.07
3 Fe 0.000 0.500 0.000  2.24
4 Tc 0.500 0.000 0.000  -0.08
5 Re 0.000 0.000 0.000  -0.10

As for the density of states at the Fermi level: 7.14 states/eV per cell. For the formation energy, the calculation gives 8.620 eV/f.u.

=====

# 11
An optimized crystal structure of K3SbPt. Source: Alexandria, functional PBE.

abc: 6.093 6.093 6.093
angles: 90.00 90.00 90.00
Last column: magnetic moment on the atom in μB.
Atoms (fractional coordinates):
1 Pt 0.000 0.000 0.000  0.21
2 K 0.000 0.000 0.500  0.00
3 K 0.500 0.000 0.000  0.01
4 Sb 0.500 0.500 0.500  0.58
5 K 0.000 0.500 0.000  0.00

Its uncorrected formation energy is 174 meV/atom. As for the density of states at the Fermi level: 6.48 states/eV per cell. The polymorph energy (0 for the lowest one) comes out at 385 meV/atom.

=====

# 12
An optimized crystal structure of Tm8Zn2Os. Source: Alexandria, functional PBE.

abc: 6.065 8.508 8.508
angles: 127.07 104.19 104.19
Atoms (fractional coordinates):
1 Tm 0.134 0.283 0.283
2 Tm 0.293 0.621 0.850
3 Tm 0.293 0.850 0.621
4 Tm 0.652 0.156 0.393
5 Os 0.270 0.008 0.008
6 Tm 0.758 0.710 0.710
7 Tm 0.996 0.189 0.809
8 Tm 0.652 0.393 0.156
9 Tm 0.996 0.809 0.189
10 Zn 0.478 0.293 0.722
11 Zn 0.478 0.722 0.293

As for the density of states at the Fermi level: 12.26 states/eV per cell. For the formation energy, the calculation gives -1.290 eV/f.u. The polymorph energy (0 for the lowest one) comes out at 96 meV/atom.